A plane-wave DFT calculation with PBEsol was carried out for KBeSe2 after structural relaxation.

Output
The volume comes out at 81 Å³ per cell. Its density of states at the Fermi level is 1.11 states/eV/f.u. The calculation puts the energy at -13.33 eV/f.u. Its magnetic moment is 0.00 Bohr magnetons per cell.

Unit cell a=3.2085 b=3.2085 c=7.8265 alpha=90.00 beta=90.00 gamma=90.00
Last column: nearest neighbours and their distance in Å.
Space group P4/mmm (No. 123)
Asymmetric unit:
K 0.0000 0.0000 0.0000  4 K 3.21, 8 Se 3.31
Be 0.0000 0.0000 0.5000  8 Se 2.72
Se 0.5000 0.5000 0.3087  4 Be 2.72, 1 Se 2.99

---

A plane-wave DFT calculation with PBEsol was carried out for Li2LaSc after structural relaxation.

Output
For the calculated formation energy, the calculation gives 0.107 eV/atom. The volume comes out at 97 Å³ per cell. Its density of states at the Fermi level is 4.72 states/eV/f.u. The calculation puts the energy at -15.45 eV/f.u. The calculation puts the polymorph energy (0 for the lowest one) at 0.0 kJ per mole of atoms. Its magnetic moment is 0.00 Bohr magnetons per cell.

Unit cell a=3.5378 b=3.5378 c=7.7488 alpha=90.00 beta=90.00 gamma=90.00
Last column: nearest neighbours and their distance in Å.
Space group P4mm (No. 99)
Asymmetric unit:
Li 0.0000 0.0000 0.0000  4 Li 2.88
Li 0.5000 0.5000 0.1836  4 Li 2.88, 4 Sc 3.12
La 0.5000 0.5000 0.7116  4 Sc 3.35, 5 Li 3.35-3.66, 4 La 3.54
Sc 0.0000 0.0000 0.4249  5 Li 3.12-3.29, 4 La 3.35

---

A plane-wave DFT calculation with PBEsol was carried out for SrCa2Cl after structural relaxation.

Output
The volume comes out at 302 Å³ per cell. Its density of states at the Fermi level is 3.39 states/eV/f.u. The calculation puts the energy at -9.94 eV/f.u. The calculation puts the polymorph energy (0 for the lowest one) at 28.8 kJ per mole of atoms. Its magnetic moment is 0.00 Bohr magnetons per cell.

Unit cell a=4.7025 b=4.7025 c=13.6767 alpha=90.00 beta=90.00 gamma=90.00
Last column: nearest neighbours and their distance in Å.
Space group I4/mmm (No. 139)
Asymmetric unit:
Sr 0.0000 0.0000 0.0000  4 Cl 3.33
Ca 0.0000 0.5000 0.2500  4 Ca 3.33
Cl 0.0000 0.0000 0.5000  4 Sr 3.33